BePd2Au2 GGA-PBE optimized geometry; N(E_F) = 2.3 states/eV/f.u.; energy of formation = -94 meV/atom; energy relative to the lowest polymorph listed for this composition = 106 kJ/mol of formula units
1.0
5.936 0.000 0.000
0.000 5.936 0.000
0.000 0.000 4.520
Pd Au Be
4 4 2
Direct
0.846 0.654 0.000
0.346 0.846 0.000
0.154 0.346 0.000
0.654 0.154 0.000
0.166 0.666 0.500
0.334 0.166 0.500
0.666 0.834 0.500
0.834 0.334 0.500
0.500 0.500 0.000
0.000 0.000 0.000

***

Mg2Be2Co GGA-PBE optimized geometry; N(E_F) = 3.0 states/eV/f.u.; energy of formation = 576 meV/atom; energy relative to the lowest polymorph listed for this composition = 166 kJ/mol of formula units
1.0
-6.851 1.089 -1.601
1.290 -1.823 -6.760
-0.560 -2.636 0.604
Co Mg Be
2 4 4
Direct
0.500 0.500 0.000
0.000 0.000 0.000
0.176 0.324 0.000
0.676 0.176 0.000
0.324 0.824 0.000
0.824 0.676 0.000
0.116 0.616 0.500
0.384 0.116 0.500
0.884 0.384 0.500
0.616 0.884 0.500

***

LiHgCl2 GGA-PBE optimized geometry; N(E_F) = 4.4 states/eV/f.u.; E_form (uncorrected) = -3.107 eV per formula unit; energy relative to the lowest polymorph listed for this composition = 68 kJ/mol of formula units
1.0
-5.084 5.023 2.858
-0.779 6.890 3.342
-2.965 7.054 -0.836
Li Hg Cl
1 1 2
Direct
0.000 0.000 0.000
0.500 0.500 0.500
0.898 0.898 0.898
0.102 0.102 0.102

***

Sr2CaEu GGA-PBE optimized geometry; N(E_F) = 13.1 states/eV/f.u.; energy of formation = 28 meV/atom; energy relative to the lowest polymorph listed for this composition = 0 kJ/mol of formula units
1.0
6.484 0.000 0.000
3.242 5.616 0.000
3.242 1.872 5.294
Eu Sr Ca
1 2 1
Direct
0.000 0.000 0.000
0.250 0.250 0.250
0.750 0.750 0.750
0.500 0.500 0.500